A geometry-optimized NaTbTm2Se4 structure. Source: the Alexandria database, functional PBE-GGA.

```
NaTbTm2Se4
1.0
-0.9385 1.0879 -3.7720
-1.5343 -6.7396 -1.5620
-6.8457 -1.1662 1.3668
Na Tb Tm Se
1 1 2 4
direct
0.0000 0.5000 0.5000 Na
0.5000 0.5000 0.0000 Tb
0.0000 0.0000 0.0000 Tm
0.5000 0.0000 0.5000 Tm
0.0000 0.7562 0.7467 Se
0.0000 0.2438 0.2533 Se
0.5000 0.7592 0.2456 Se
0.5000 0.2408 0.7544 Se
```

As for the uncorrected formation energy: -1.705 eV/atom.